Below is an optimized crystal structure of LiHf2GaAg, with properties calculated at the PBEsol level.

Results
For the density of states at the Fermi level, the calculation gives 4.37 states/eV/f.u. The formation enthalpy at 0 K is 736.0 meV per atom. As for the space group: P4/mmm (123). The calculated volume is 110.2 Å³/cell. Its mass density is 8.16 Mg/m³.

Geometry as POSCAR:
```
LiHf2GaAg
1.0
4.309 0.000 0.000
0.000 5.056 0.000
0.000 0.000 5.056
Hf Ga Ag Li
2 1 1 1
direct
0.000 0.000 0.500
0.000 0.500 0.000
0.500 0.500 0.500
0.000 0.000 0.000
0.500 0.000 0.000
```